[1]
DFT (GGA-PBE) results for crystalline CoReMo2 at its relaxed geometry.

a b c (Å): 2.652 4.357 5.133
angles (deg): 90.00 99.70 90.00
Space group Pm (No. 6)
Unique sites:
Co 0.000 0.000 0.000 x1
Re 0.253 0.500 0.745 x1
Mo 0.496 0.000 0.500 x1
Mo 0.729 0.500 0.231 x1

Summary:
Energy above the most stable polymorph in this dataset, kcal/mol of atoms: 1.24

[2]
DFT (GGA-PBE) results for crystalline CoReMo2 at its relaxed geometry.

a b c (Å): 2.660 2.660 8.142
angles (deg): 90.00 90.00 90.00
Space group P4mm (No. 99)
Unique sites:
Co 0.000 0.000 0.000 x1
Re 0.500 0.500 0.790 x1
Mo 0.000 0.000 0.516 x1
Mo 0.500 0.500 0.235 x1

Summary:
Energy above the most stable polymorph in this dataset, kcal/mol of atoms: 0.92

[3]
DFT (GGA-PBE) results for crystalline CoReMo2 at its relaxed geometry.

a b c (Å): 6.887 6.887 5.176
angles (deg): 90.00 90.00 90.00
Space group I-42d (No. 122)
Unique sites:
Co 0.000 0.000 0.000 x4
Re 0.000 0.000 0.500 x4
Mo 0.231 0.250 0.125 x8

Summary:
Energy above the most stable polymorph in this dataset, kcal/mol of atoms: 15.16